A plane-wave DFT calculation with PBE was carried out for a geometry-optimized AlOs structure.

Cell: 2.877 2.877 3.989 Å, 90.00 90.00 120.00°
Sites, in units of the cell vectors:
1 Al 0.667 0.333 0.750
2 Os 0.333 0.667 0.250

Values from the calculation:
Total energy (eV per atom): -7.7600
Total magnetic moment (μB per cell): 0.00
SG: P-6m2
V (Å³ per cell): 28.6